[1]
CrGa2Pd | PBE | optimized geometry

Cell lengths 6.959, 6.959, 5.643 Å; angles 51.93, 51.93, 90.00 degrees
Atoms (fractional coordinates):
Cr  0.500  0.500  0.000
Cr  0.250  0.750  0.500
Ga  0.635  0.125  0.250
Ga  0.115  0.625  0.250
Ga  0.375  0.365  0.750
Ga  0.875  0.885  0.750
Pd  0.000  0.000  0.000
Pd  0.750  0.250  0.500

Properties
Its mass density is 7.4 g/cm³. The calculation puts the formation energy at 0.053 eV per atom. Its total energy is -5.16 eV/atom.

[2]
PaTcGe2 | PBE | optimized geometry

Cell lengths 3.026, 3.026, 9.985 Å; angles 81.28, 81.28, 60.00 degrees
Atoms (fractional coordinates):
Ge  0.101  0.101  0.696
Ge  0.899  0.899  0.304
Pa  0.000  0.000  0.000
Tc  0.500  0.500  0.500

Properties
Its mass density is 10.1 g/cm³. The calculation puts the formation energy at 0.116 eV per atom. Its total energy is -7.16 eV/atom. For the energy above the lowest structure with this stoichiometry, the calculation gives 549 meV/atom.

[3]
V2GeOs | PBE | optimized geometry

Cell lengths 6.821, 6.821, 5.503 Å; angles 51.70, 51.70, 90.00 degrees
Atoms (fractional coordinates):
Ge  0.500  0.500  0.000
Ge  0.250  0.750  0.500
Os  0.000  0.000  0.000
Os  0.750  0.250  0.500
V  0.639  0.125  0.250
V  0.111  0.625  0.250
V  0.375  0.361  0.750
V  0.875  0.889  0.750

Properties
Its mass density is 9.8 g/cm³. The calculation puts the formation energy at 0.403 eV per atom. Its total energy is -8.12 eV/atom.

[4]
MnCr2HRu | PBE | optimized geometry

Cell lengths 3.710, 3.710, 3.646 Å; angles 90.00, 90.00, 90.00 degrees
Atoms (fractional coordinates):
Ru  0.500  0.500  0.500
Mn  0.000  0.000  0.500
H  0.000  0.000  0.000
Cr  0.000  0.500  0.000
Cr  0.500  0.000  0.000

Properties
Its mass density is 8.6 g/cm³. Its total energy is -8.13 eV/atom. For the energy above the lowest structure with this stoichiometry, the calculation gives 0 meV/atom.

[5]
TlSnPd2 | PBE | optimized geometry

Cell lengths 3.347, 3.347, 8.526 Å; angles 78.68, 78.68, 60.00 degrees
Atoms (fractional coordinates):
Tl  0.500  0.500  0.501
Sn  0.667  0.667  0.999
Pd  0.080  0.080  0.761
Pd  0.254  0.254  0.239

Properties
Its mass density is 11.0 g/cm³. The calculation puts the formation energy at -0.223 eV per atom. Its total energy is -4.41 eV/atom.

[6]
LaPm2Nd4Ho | PBE | optimized geometry

Cell lengths 3.677, 12.179, 6.317 Å; angles 79.75, 90.00, 90.00 degrees
Atoms (fractional coordinates):
La  0.500  0.500  0.000
Pm  0.000  0.000  0.000
Pm  0.500  0.000  0.500
Nd  0.000  0.751  0.749
Nd  0.000  0.249  0.251
Nd  0.500  0.749  0.251
Nd  0.500  0.251  0.749
Ho  0.000  0.500  0.500

Properties
Its mass density is 7.0 g/cm³. The calculation puts the formation energy at 0.017 eV per atom. Its total energy is -4.74 eV/atom.

[7]
B2C | PBE | optimized geometry

Cell lengths 4.432, 4.432, 9.286 Å; angles 56.72, 56.72, 32.64 degrees
Atoms (fractional coordinates):
B  0.356  0.356  0.336
B  0.550  0.550  0.385
B  0.834  0.834  0.205
B  0.018  0.018  0.983
B  0.165  0.165  0.069
B  0.282  0.282  0.846
B  0.482  0.482  0.860
B  0.817  0.817  0.686
C  0.645  0.645  0.182
C  0.655  0.655  0.649
C  0.023  0.023  0.502
C  0.173  0.173  0.547

Properties
Its mass density is 2.8 g/cm³. The calculation puts the formation energy at 0.382 eV per atom. Its total energy is -7.14 eV/atom. For the energy above the lowest structure with this stoichiometry, the calculation gives 197 meV/atom.

[8]
Cs2ErHg2Se4 | PBE | optimized geometry

Cell lengths 4.247, 8.857, 8.731 Å; angles 111.74, 104.08, 90.00 degrees
Atoms (fractional coordinates):
Cs  0.128  0.570  0.256
Cs  0.872  0.430  0.744
Er  0.000  0.000  0.000
Hg  0.688  0.016  0.376
Hg  0.312  0.984  0.624
Se  0.178  0.211  0.357
Se  0.822  0.789  0.643
Se  0.522  0.793  0.044
Se  0.478  0.207  0.956

Properties
Its mass density is 6.5 g/cm³. Its total energy is -3.30 eV/atom. As for the raw formation energy: -0.983 eV/atom.

[9]
ZnCdH6Rh2 | PBE | optimized geometry

Cell lengths 6.211, 6.211, 5.426 Å; angles 107.12, 107.12, 105.30 degrees
Atoms (fractional coordinates):
Zn  0.738  0.262  0.250
Zn  0.262  0.738  0.750
Cd  0.109  0.891  0.250
Cd  0.891  0.109  0.750
H  0.988  0.417  0.163
H  0.583  0.012  0.337
H  0.012  0.583  0.837
H  0.417  0.988  0.663
H  0.342  0.171  0.064
H  0.829  0.658  0.436
H  0.658  0.829  0.936
H  0.171  0.342  0.564
H  0.508  0.682  0.461
H  0.318  0.492  0.039
H  0.492  0.318  0.539
H  0.682  0.508  0.961
Rh  0.388  0.248  0.805
Rh  0.752  0.612  0.695
Rh  0.612  0.752  0.195
Rh  0.248  0.388  0.305

Properties
Its mass density is 7.3 g/cm³. Its total energy is -3.70 eV/atom.

[10]
NdY9Er2 | PBE | optimized geometry

Cell lengths 5.050, 5.050, 15.153 Å; angles 90.00, 90.00, 90.00 degrees
Atoms (fractional coordinates):
Nd  0.000  0.000  0.000
Y  0.500  0.500  0.000
Y  0.500  0.500  0.335
Y  0.500  0.500  0.665
Y  0.500  0.000  0.169
Y  0.500  0.000  0.500
Y  0.500  0.000  0.831
Y  0.000  0.500  0.169
Y  0.000  0.500  0.500
Y  0.000  0.500  0.831
Er  0.000  0.000  0.334
Er  0.000  0.000  0.666

Properties
Its mass density is 5.5 g/cm³. The calculation puts the formation energy at 0.026 eV per atom. Its total energy is -5.98 eV/atom.

[11]
HoErAgHg | PBE | optimized geometry

Cell lengths 5.169, 5.169, 5.169 Å; angles 60.00, 60.00, 60.00 degrees
Atoms (fractional coordinates):
Ho  0.750  0.750  0.750
Hg  0.500  0.500  0.500
Ag  0.000  0.000  0.000
Er  0.250  0.250  0.250

Properties
Its mass density is 10.9 g/cm³. The calculation puts the formation energy at -0.407 eV per atom. Its total energy is -3.48 eV/atom.

[12]
DyZnCd3 | PBE | optimized geometry

Cell lengths 4.182, 9.076, 11.840 Å; angles 90.00, 90.00, 90.00 degrees
Atoms (fractional coordinates):
Dy  0.750  0.822  0.997
Dy  0.250  0.678  0.497
Dy  0.750  0.322  0.503
Dy  0.250  0.178  0.003
Zn  0.250  0.134  0.630
Zn  0.250  0.634  0.870
Zn  0.750  0.366  0.130
Zn  0.750  0.866  0.370
Cd  0.250  0.564  0.094
Cd  0.750  0.436  0.906
Cd  0.250  0.064  0.406
Cd  0.750  0.936  0.594
Cd  0.250  0.412  0.704
Cd  0.750  0.088  0.204
Cd  0.250  0.912  0.796
Cd  0.750  0.647  0.704
Cd  0.250  0.353  0.296
Cd  0.750  0.147  0.796
Cd  0.750  0.588  0.296
Cd  0.250  0.853  0.204

Properties
Its mass density is 8.4 g/cm³. The calculation puts the formation energy at -0.195 eV per atom. Its total energy is -1.92 eV/atom. For the energy above the lowest structure with this stoichiometry, the calculation gives 15 meV/atom.

- Look up the mass density of the second one.
  10.1 g/cm³